Entry 1:
Ce4CF5 | PBE | optimized geometry

Computed properties:
electronic total energy: -6.792 eV/atom
formation energy without anion corrections: -2.560 eV/atom
volume: 187.38 Å³/cell

a b c (Å): 7.9785 7.9785 7.2379
angles (deg): 110.17 110.17 25.77
Atoms (fractional coordinates):
Ce1 0.0145 0.0145 0.2501
Ce2 0.3291 0.3291 0.9087
Ce3 0.6709 0.6709 0.0913
Ce4 0.9855 0.9855 0.7499
C1 0.5000 0.5000 0.0000
F1 0.1522 0.1522 0.8254
F2 0.1806 0.1806 0.3288
F3 0.5000 0.5000 0.5000
F4 0.8194 0.8194 0.6712
F5 0.8478 0.8478 0.1746



Entry 2:
Ce3C2F | PBE | optimized geometry

Computed properties:
electronic total energy: -7.119 eV/atom
formation energy without anion corrections: -0.766 eV/atom
volume: 236.64 Å³/cell

a b c (Å): 6.5164 6.5164 10.2091
angles (deg): 90.00 90.00 146.92
Atoms (fractional coordinates):
Ce1 0.0828 0.9172 0.7500
Ce2 0.3773 0.6227 0.5644
Ce3 0.3773 0.6227 0.9356
Ce4 0.6227 0.3773 0.0644
Ce5 0.6227 0.3773 0.4356
Ce6 0.9172 0.0828 0.2500
C1 0.0000 0.0000 0.0000
C2 0.0000 0.0000 0.5000
C3 0.4702 0.5298 0.7500
C4 0.5298 0.4702 0.2500
F1 0.2731 0.7269 0.2500
F2 0.7269 0.2731 0.7500



Entry 3:
Ce4C3F | PBE | optimized geometry

Computed properties:
electronic total energy: -7.480 eV/atom
formation energy without anion corrections: -0.820 eV/atom
volume: 139.63 Å³/cell

a b c (Å): 6.3439 6.3439 3.6720
angles (deg): 90.00 90.00 109.12
Atoms (fractional coordinates):
Ce1 0.2375 0.2375 0.5000
Ce2 0.2470 0.7530 0.0000
Ce3 0.7530 0.2470 0.0000
Ce4 0.7625 0.7625 0.5000
C1 0.0000 0.0000 0.0000
C2 0.0000 0.5000 0.5000
C3 0.5000 0.0000 0.5000
F1 0.5000 0.5000 0.0000



Entry 4:
Ce5C4F | PBE | optimized geometry

Computed properties:
electronic total energy: -7.509 eV/atom
formation energy without anion corrections: -0.666 eV/atom
volume: 175.11 Å³/cell

a b c (Å): 9.8024 9.8024 9.8024
angles (deg): 158.38 149.65 37.57
Atoms (fractional coordinates):
Ce1 0.0000 0.0000 0.0000
Ce2 0.2000 0.2000 0.0000
Ce3 0.3927 0.3927 0.0000
Ce4 0.6073 0.6073 0.0000
Ce5 0.8000 0.8000 0.0000
C1 0.0941 0.5941 0.5000
C2 0.3057 0.8057 0.5000
C3 0.6943 0.1943 0.5000
C4 0.9059 0.4059 0.5000
F1 0.5000 0.0000 0.5000



Entry 5:
CeCF | PBE | optimized geometry

Computed properties:
electronic total energy: -7.618 eV/atom
formation energy without anion corrections: -1.942 eV/atom
energy above the lowest structure with this stoichiometry: 0 meV per atom
volume: 90.84 Å³/cell

a b c (Å): 3.9860 3.9860 6.8567
angles (deg): 96.16 96.16 57.15
Atoms (fractional coordinates):
Ce1 0.1490 0.1490 0.2211
Ce2 0.8510 0.8510 0.7789
C1 0.4291 0.4291 0.0600
C2 0.5709 0.5709 0.9400
F1 0.1782 0.1782 0.6065
F2 0.8218 0.8218 0.3935



Entry 6:
CeCF | PBE | optimized geometry

Computed properties:
electronic total energy: -7.560 eV/atom
formation energy without anion corrections: -1.884 eV/atom
energy above the lowest structure with this stoichiometry: 58 meV per atom
volume: 104.17 Å³/cell

a b c (Å): 3.9036 3.9036 8.3588
angles (deg): 100.54 100.54 56.73
Atoms (fractional coordinates):
Ce1 0.0750 0.0750 0.3136
Ce2 0.9250 0.9250 0.6864
C1 0.4084 0.4084 0.4493
C2 0.5916 0.5916 0.5507
F1 0.3152 0.3152 0.8345
F2 0.6848 0.6848 0.1655



Entry 7:
Ce4C2F | PBE | optimized geometry

Computed properties:
electronic total energy: -7.186 eV/atom
formation energy without anion corrections: -0.892 eV/atom
volume: 138.42 Å³/cell

a b c (Å): 12.5798 12.5798 12.5798
angles (deg): 16.40 16.40 16.40
Atoms (fractional coordinates):
Ce1 0.1192 0.1192 0.1192
Ce2 0.2899 0.2899 0.2899
Ce3 0.7101 0.7101 0.7101
Ce4 0.8808 0.8808 0.8808
C1 0.4147 0.4147 0.4147
C2 0.5853 0.5853 0.5853
F1 0.0000 0.0000 0.0000



Entry 8:
Ce8C3NF4 | PBE | optimized geometry

Computed properties:
electronic total energy: -7.312 eV/atom
formation energy without anion corrections: -1.628 eV/atom
volume: 270.16 Å³/cell

a b c (Å): 7.2835 7.2835 7.2835
angles (deg): 59.51 59.51 59.51
Atoms (fractional coordinates):
Ce1 0.2448 0.2448 0.2448
Ce2 0.2462 0.7429 0.7429
Ce3 0.2571 0.2571 0.7538
Ce4 0.2571 0.7538 0.2571
Ce5 0.7429 0.2462 0.7429
Ce6 0.7429 0.7429 0.2462
Ce7 0.7538 0.2571 0.2571
Ce8 0.7552 0.7552 0.7552
C1 0.0000 0.0000 0.5000
C2 0.0000 0.5000 0.0000
C3 0.5000 0.0000 0.0000
N1 0.5000 0.5000 0.5000
F1 0.0000 0.0000 0.0000
F2 0.0000 0.5000 0.5000
F3 0.5000 0.0000 0.5000
F4 0.5000 0.5000 0.0000



Entry 9:
Ce6C2N3F | PBE | optimized geometry

Computed properties:
electronic total energy: -7.993 eV/atom
formation energy without anion corrections: -1.252 eV/atom
volume: 200.23 Å³/cell

a b c (Å): 8.0735 8.0735 7.2526
angles (deg): 103.32 103.32 25.84
Atoms (fractional coordinates):
Ce1 0.0019 0.0019 0.2353
Ce2 0.3303 0.3303 0.4186
Ce3 0.3332 0.3332 0.9148
Ce4 0.6667 0.6667 0.0852
Ce5 0.6697 0.6697 0.5814
Ce6 0.9981 0.9981 0.7647
C1 0.1605 0.1605 0.8245
C2 0.8395 0.8395 0.1755
N1 0.1710 0.1710 0.3377
N2 0.5000 0.5000 0.0000
N3 0.8290 0.8290 0.6623
F1 0.5000 0.5000 0.5000



Entry 10:
CeCN2F | PBE | optimized geometry

Computed properties:
electronic total energy: -8.302 eV/atom
formation energy without anion corrections: -1.566 eV/atom
volume: 137.82 Å³/cell

a b c (Å): 5.5335 3.7534 6.7174
angles (deg): 90.00 98.96 90.00
Atoms (fractional coordinates):
Ce1 0.1554 0.2500 0.2714
Ce2 0.8446 0.7500 0.7286
C1 0.3467 0.2500 0.8329
C2 0.6533 0.7500 0.1671
N1 0.1390 0.2500 0.8829
N2 0.4514 0.7500 0.2193
N3 0.5486 0.2500 0.7807
N4 0.8610 0.7500 0.1171
F1 0.1704 0.7500 0.5162
F2 0.8296 0.2500 0.4838



Entry 11:
Ce6C3N2F | PBE | optimized geometry

Computed properties:
electronic total energy: -7.847 eV/atom
formation energy without anion corrections: -1.030 eV/atom
volume: 203.47 Å³/cell

a b c (Å): 8.0892 8.0892 7.2663
angles (deg): 102.24 102.24 26.00
Atoms (fractional coordinates):
Ce1 0.0013 0.0013 0.2626
Ce2 0.3302 0.3302 0.9109
Ce3 0.3316 0.3316 0.4189
Ce4 0.6684 0.6684 0.5811
Ce5 0.6698 0.6698 0.0891
Ce6 0.9987 0.9987 0.7374
C1 0.1666 0.1666 0.8364
C2 0.5000 0.5000 0.5000
C3 0.8334 0.8334 0.1636
N1 0.1662 0.1662 0.3319
N2 0.8338 0.8338 0.6681
F1 0.5000 0.5000 0.0000



Entry 12:
Ce6C2NF3 | PBE | optimized geometry

Computed properties:
electronic total energy: -7.342 eV/atom
formation energy without anion corrections: -1.677 eV/atom
volume: 201.86 Å³/cell

a b c (Å): 6.2466 6.2466 6.3253
angles (deg): 99.47 99.47 119.99
Atoms (fractional coordinates):
Ce1 0.0772 0.4072 0.2316
Ce2 0.2526 0.2526 0.7665
Ce3 0.4072 0.0772 0.2316
Ce4 0.5928 0.9228 0.7684
Ce5 0.7474 0.7474 0.2335
Ce6 0.9228 0.5928 0.7684
C1 0.3337 0.6663 0.0000
C2 0.6663 0.3337 0.0000
N1 0.0000 0.0000 0.0000
F1 0.1720 0.8280 0.5000
F2 0.5000 0.5000 0.5000
F3 0.8280 0.1720 0.5000



The lowest formation energy without anion corrections belongs to which entry? Ce4CF5



Which of these has the highest volume? Ce8C3NF4



Among the records above, which one has the highest formation energy without anion corrections? Ce5C4F